1.
## TbCdPb3 (PBE-GGA)

Data for an optimized crystal structure of TbCdPb3.

As for the energy relative to the lowest polymorph listed for this composition: 0 meV per atom.

The structure belongs to space group P1 (No. 1); the cell edges are 4.5636, 6.0082 and 6.0645 Å and the angles 87.29°, 68.04° and 68.03°. The distinct sites, in fractional coordinates, are Tb at (0.0000, 0.0000, 0.0000), Cd at (0.4059, 0.7881, 0.3972), Pb at (0.1961, 0.4184, 0.1862), Pb at (0.6268, 0.1564, 0.5882) and Pb at (0.8049, 0.5854, 0.8069).


2.
## Tb2CdPb (PBE-GGA)

Data for an optimized crystal structure of Tb2CdPb.

The structure belongs to space group P2_1/m (No. 11); the cell edges are 6.3647, 4.8362 and 7.7327 Å and the angles 90.00°, 107.70° and 90.00°. The distinct sites, in fractional coordinates, are Tb at (0.1870, 0.2500, 0.4199), Tb at (0.2027, 0.2500, 0.9282), Cd at (0.3234, 0.7500, 0.2105) and Pb at (0.3418, 0.7500, 0.7081).


| no. | calculated total energy (eV/atom) | formation energy (eV/atom) | N(E_F) (states/eV per cell) |
| --- | --- | --- | --- |
| 1 | -3.50 | -0.167 | 2.5 |
| 2 | -3.85 | -0.374 | 8.6 |